Compound: BeCr3Hg
Source: the Alexandria database
Functional: GGA-PBE
Structure: relaxed

Results
As for the crystal system: cubic. For the formation energy, the calculation gives 901 meV/atom. The final energy is -5.679 eV per atom. For the distance to the lowest polymorph of the same formula, the calculation gives 0.000 eV per atom.

abc: 4.0539 4.0539 4.0539
angles: 90.00 90.00 90.00
With the nearest neighbours (Å) after each atom.
Sites, in units of the cell vectors:
Be 0.0000 0.0000 0.0000  6 Cr 2.03
Cr 0.0000 0.0000 0.5000  2 Be 2.03
Cr 0.0000 0.5000 0.0000  2 Be 2.03
Cr 0.5000 0.0000 0.0000  2 Be 2.03
Hg 0.5000 0.5000 0.5000  12 Cr 2.87